Material: PIr5
Method: DFT, PBE
State: optimized geometry

## Properties
Energy above the most stable polymorph in this dataset, meV per atom: 122
Total energy, eV per atom: -8.10
Formation enthalpy at 0 K, eV per atom: 0.190

a = 4.4037 Å, b = 2.7628 Å, c = 14.3577 Å
α = 90.00°, β = 90.00°, γ = 90.00°
Space group Amm2 (No. 38)
Inequivalent atoms, fractional coordinates:
P 0.0000 0.0000 0.0000 (multiplicity 2)
Ir 0.0000 0.0000 0.3571 (multiplicity 2)
Ir 0.0000 0.0000 0.6848 (multiplicity 2)
Ir 0.5000 0.0000 0.1421 (multiplicity 2)
Ir 0.5000 0.0000 0.4772 (multiplicity 2)
Ir 0.5000 0.0000 0.8072 (multiplicity 2)